# 1
Here is a geometry-optimized Pr4IrCBr2 structure from Alexandria. Energies are from GGA-PBE.

## Properties
The value obtained for the formation energy from raw total energies is -7.069 eV per formula unit. For the total energy, the calculation gives -5.952 eV per atom. The size of the total moment comes out at 0.0 μB per formula unit.

Cell and atoms, written as CIF:
```
data_Pr4IrCBr2
_chemical_formula_sum 'Pr4 Ir1 C1 Br2'
_space_group_name_H-M_alt 'P 1 2/m 1'
_space_group_IT_number 10
_space_group_name_Hall '-P 2y'
_cell_length_a 7.2100
_cell_length_b 3.9914
_cell_length_c 7.9225
_cell_angle_alpha 90.00
_cell_angle_beta 106.42
_cell_angle_gamma 90.00
loop_
_atom_site_label
_atom_site_fract_x
_atom_site_fract_y
_atom_site_fract_z
_atom_site_occupancy
Pr1 0.2122 0.0000 0.1834 1
Pr2 0.2477 0.5000 0.8087 1
Ir1 0.5000 0.0000 0.0000 1
C1 0.0000 0.5000 0.0000 1
Br1 0.0000 0.0000 0.5000 1
Br2 0.5000 0.5000 0.5000 1
```



# 2
Here is a geometry-optimized Pr8Ir3CBr3 structure from Alexandria. Energies are from GGA-PBE.

## Properties
The value obtained for the formation energy from raw total energies is -12.173 eV per formula unit. For the total energy, the calculation gives -6.082 eV per atom. The size of the total moment comes out at 0.0 μB per formula unit.

Cell and atoms, written as CIF:
```
data_Pr8Ir3CBr3
_chemical_formula_sum 'Pr16 Ir6 C2 Br6'
_space_group_name_H-M_alt 'C 1 2/m 1'
_space_group_IT_number 12
_space_group_name_Hall '-C 2y'
_cell_length_a 14.3892
_cell_length_b 8.3125
_cell_length_c 9.0845
_cell_angle_alpha 90.00
_cell_angle_beta 121.89
_cell_angle_gamma 90.00
loop_
_atom_site_label
_atom_site_fract_x
_atom_site_fract_y
_atom_site_fract_z
_atom_site_occupancy
Pr1 0.0169 0.2363 0.3143 1
Pr2 0.2193 0.0000 0.6858 1
Pr3 0.2336 0.5000 0.7006 1
Ir1 0.0000 0.5000 0.5000 1
Ir2 0.2500 0.2500 0.5000 1
C1 0.0000 0.0000 0.5000 1
Br1 0.0000 0.0000 0.0000 1
Br2 0.2500 0.2500 0.0000 1
```



# 3
Here is a geometry-optimized Rb2IrCBr6 structure from Alexandria. Energies are from GGA-PBE.

## Properties
The value obtained for the formation energy from raw total energies is -1.990 eV per formula unit. For the total energy, the calculation gives -3.205 eV per atom. The size of the total moment comes out at 1.2 μB per formula unit.

Cell and atoms, written as CIF:
```
data_Rb2IrCBr6
_chemical_formula_sum 'Rb4 Ir2 C2 Br12'
_space_group_name_H-M_alt 'I 4/m m m'
_space_group_IT_number 139
_space_group_name_Hall '-I 4 2'
_cell_length_a 7.0709
_cell_length_b 7.0709
_cell_length_c 11.8503
_cell_angle_alpha 90.00
_cell_angle_beta 90.00
_cell_angle_gamma 90.00
loop_
_atom_site_label
_atom_site_fract_x
_atom_site_fract_y
_atom_site_fract_z
_atom_site_occupancy
Rb1 0.0000 0.5000 0.2500 1
Ir1 0.0000 0.0000 0.0000 1
C1 0.0000 0.0000 0.5000 1
Br1 0.0000 0.0000 0.2128 1
Br2 0.2441 0.2441 0.5000 1
```



# 4
Here is a geometry-optimized Ir2CSBr structure from Alexandria. Energies are from GGA-PBE.

## Properties
The value obtained for the formation energy from raw total energies is 10.655 eV per formula unit. For the total energy, the calculation gives -4.418 eV per atom. The size of the total moment comes out at 1.4 μB per formula unit.

Cell and atoms, written as CIF:
```
data_Ir2CSBr
_chemical_formula_sum 'Ir2 C1 S1 Br1'
_space_group_name_H-M_alt 'P 4/m m m'
_space_group_IT_number 123
_space_group_name_Hall '-P 4 2'
_cell_length_a 4.2157
_cell_length_b 4.2157
_cell_length_c 8.0996
_cell_angle_alpha 90.00
_cell_angle_beta 90.00
_cell_angle_gamma 90.00
loop_
_atom_site_label
_atom_site_fract_x
_atom_site_fract_y
_atom_site_fract_z
_atom_site_occupancy
Ir1 0.0000 0.5000 0.0000 1
C1 0.0000 0.0000 0.5000 1
S1 0.5000 0.5000 0.0000 1
Br1 0.5000 0.5000 0.5000 1
```



# 5
Here is a geometry-optimized Sm6Ir2CBr3 structure from Alexandria. Energies are from GGA-PBE.

## Properties
The value obtained for the formation energy from raw total energies is -11.801 eV per formula unit. For the total energy, the calculation gives -6.007 eV per atom. The size of the total moment comes out at 0.0 μB per formula unit.

Cell and atoms, written as CIF:
```
data_Sm6Ir2CBr3
_chemical_formula_sum 'Sm12 Ir4 C2 Br6'
_space_group_name_H-M_alt 'C 1 2/m 1'
_space_group_IT_number 12
_space_group_name_Hall '-C 2y'
_cell_length_a 7.0040
_cell_length_b 12.1427
_cell_length_c 7.9077
_cell_angle_alpha 90.00
_cell_angle_beta 106.82
_cell_angle_gamma 90.00
loop_
_atom_site_label
_atom_site_fract_x
_atom_site_fract_y
_atom_site_fract_z
_atom_site_occupancy
Sm1 0.2156 0.1555 0.1862 1
Sm2 0.2469 0.5000 0.1865 1
Ir1 0.0000 0.3325 0.0000 1
C1 0.0000 0.0000 0.0000 1
Br1 0.0000 0.1608 0.5000 1
Br2 0.0000 0.5000 0.5000 1
```



# 6
Here is a geometry-optimized Sm8Ir3CBr4 structure from Alexandria. Energies are from GGA-PBE.

## Properties
The value obtained for the formation energy from raw total energies is -15.967 eV per formula unit. For the total energy, the calculation gives -6.014 eV per atom. The size of the total moment comes out at 0.0 μB per formula unit.

Cell and atoms, written as CIF:
```
data_Sm8Ir3CBr4
_chemical_formula_sum 'Sm24 Ir9 C3 Br12'
_space_group_name_H-M_alt 'R -3 m'
_space_group_IT_number 166
_space_group_name_Hall '-R 3 2"'
_cell_length_a 8.1260
_cell_length_b 8.1260
_cell_length_c 22.8942
_cell_angle_alpha 90.00
_cell_angle_beta 90.00
_cell_angle_gamma 120.00
loop_
_atom_site_label
_atom_site_fract_x
_atom_site_fract_y
_atom_site_fract_z
_atom_site_occupancy
Sm1 0.0000 0.0000 0.2333 1
Sm2 0.0174 0.5087 0.2281 1
Ir1 0.0000 0.5000 0.5000 1
C1 0.0000 0.0000 0.5000 1
Br1 0.0000 0.0000 0.0000 1
Br2 0.0000 0.5000 0.0000 1
```



# 7
Here is a geometry-optimized Tl2IrCBr structure from Alexandria. Energies are from GGA-PBE.

## Properties
The value obtained for the formation energy from raw total energies is 7.234 eV per formula unit. For the total energy, the calculation gives -3.451 eV per atom. The size of the total moment comes out at 2.6 μB per formula unit.

Cell and atoms, written as CIF:
```
data_Tl2IrCBr
_chemical_formula_sum 'Tl2 Ir1 C1 Br1'
_space_group_name_H-M_alt 'P 4/m m m'
_space_group_IT_number 123
_space_group_name_Hall '-P 4 2'
_cell_length_a 5.3803
_cell_length_b 5.3803
_cell_length_c 5.0339
_cell_angle_alpha 90.00
_cell_angle_beta 90.00
_cell_angle_gamma 90.00
loop_
_atom_site_label
_atom_site_fract_x
_atom_site_fract_y
_atom_site_fract_z
_atom_site_occupancy
Tl1 0.0000 0.5000 0.0000 1
Ir1 0.0000 0.0000 0.0000 1
C1 0.5000 0.5000 0.5000 1
Br1 0.0000 0.0000 0.5000 1
```



# 8
Here is a geometry-optimized KCBr2 structure from Alexandria. Energies are from GGA-PBE.

## Properties
The relative energy among the computed polymorphs comes out at 0.448 eV per atom. The value obtained for the formation energy from raw total energies is 3.899 eV per formula unit. For the total energy, the calculation gives -2.442 eV per atom. The size of the total moment comes out at 1.0 μB per formula unit.

Cell and atoms, written as CIF:
```
data_KCBr2
_chemical_formula_sum 'K4 C4 Br8'
_space_group_name_H-M_alt 'F m -3 m'
_space_group_IT_number 225
_space_group_name_Hall '-F 4 2 3'
_cell_length_a 7.4770
_cell_length_b 7.4770
_cell_length_c 7.4770
_cell_angle_alpha 90.00
_cell_angle_beta 90.00
_cell_angle_gamma 90.00
loop_
_atom_site_label
_atom_site_fract_x
_atom_site_fract_y
_atom_site_fract_z
_atom_site_occupancy
K1 0.0000 0.0000 0.0000 1
C1 0.0000 0.0000 0.5000 1
Br1 0.2500 0.2500 0.2500 1
```



# 9
Here is a geometry-optimized KC2Br structure from Alexandria. Energies are from GGA-PBE.

## Properties
The relative energy among the computed polymorphs comes out at 0.429 eV per atom. The value obtained for the formation energy from raw total energies is 11.030 eV per formula unit. For the total energy, the calculation gives -2.547 eV per atom. The size of the total moment comes out at 4.0 μB per formula unit.

Cell and atoms, written as CIF:
```
data_KC2Br
_chemical_formula_sum 'K4 C8 Br4'
_space_group_name_H-M_alt 'F m -3 m'
_space_group_IT_number 225
_space_group_name_Hall '-F 4 2 3'
_cell_length_a 7.0372
_cell_length_b 7.0372
_cell_length_c 7.0372
_cell_angle_alpha 90.00
_cell_angle_beta 90.00
_cell_angle_gamma 90.00
loop_
_atom_site_label
_atom_site_fract_x
_atom_site_fract_y
_atom_site_fract_z
_atom_site_occupancy
K1 0.0000 0.0000 0.0000 1
C1 0.2500 0.2500 0.2500 1
Br1 0.0000 0.0000 0.5000 1
```



# 10
Here is a geometry-optimized KCBr2 structure from Alexandria. Energies are from GGA-PBE.

## Properties
The relative energy among the computed polymorphs comes out at 0.499 eV per atom. The value obtained for the formation energy from raw total energies is 4.102 eV per formula unit. For the total energy, the calculation gives -2.391 eV per atom. The size of the total moment comes out at 0.0 μB per formula unit.

Cell and atoms, written as CIF:
```
data_KCBr2
_chemical_formula_sum 'K3 C3 Br6'
_space_group_name_H-M_alt 'R -3 m'
_space_group_IT_number 166
_space_group_name_Hall '-R 3 2"'
_cell_length_a 3.9905
_cell_length_b 3.9905
_cell_length_c 26.1709
_cell_angle_alpha 90.00
_cell_angle_beta 90.00
_cell_angle_gamma 120.00
loop_
_atom_site_label
_atom_site_fract_x
_atom_site_fract_y
_atom_site_fract_z
_atom_site_occupancy
K1 0.0000 0.0000 0.0000 1
C1 0.0000 0.0000 0.5000 1
Br1 0.0000 0.0000 0.1182 1
```